(1)
The following is a DFT calculation (PBE) of a relaxed PrSm2YEr crystal.

Unit cell a=7.272 b=8.462 c=7.201 alpha=125.99 beta=90.00 gamma=90.00
Element x y z (fractional)
Sm: 0.000 0.310 0.000
Sm: 0.500 0.310 0.000
Sm: 0.500 0.690 0.000
Sm: 0.000 0.690 0.000
Y: 0.750 0.006 0.012
Y: 0.250 0.994 0.988
Pr: 0.750 0.274 0.549
Pr: 0.250 0.726 0.451
Er: 0.750 0.728 0.456
Er: 0.250 0.272 0.544

The calculated density is 6.46 Mg/m³. Its space group is Cmcm. As for the crystal system: orthorhombic.

(2)
The following is a DFT calculation (PBE) of a relaxed PrSm3YEr crystal.

Unit cell a=5.790 b=10.590 c=6.872 alpha=90.65 beta=90.00 gamma=105.87
Element x y z (fractional)
Er: 0.354 0.709 0.532
Er: 0.646 0.291 0.468
Sm: 0.519 0.038 0.744
Sm: 0.161 0.321 0.738
Sm: 0.839 0.679 0.262
Sm: 0.481 0.962 0.256
Sm: 0.220 0.439 0.255
Sm: 0.780 0.561 0.745
Y: 0.057 0.114 0.265
Y: 0.943 0.886 0.735
Pr: 0.354 0.708 0.979
Pr: 0.646 0.292 0.021

The calculated density is 6.95 Mg/m³. Its space group is C2/m. As for the crystal system: monoclinic.

(3)
The following is a DFT calculation (PBE) of a relaxed Pr2SmY5Er crystal.

Unit cell a=8.732 b=8.732 c=9.997 alpha=115.90 beta=115.90 gamma=90.00
Element x y z (fractional)
Pr: 0.882 0.618 0.000
Pr: 0.618 0.118 0.000
Pr: 0.382 0.882 0.000
Pr: 0.118 0.382 0.000
Y: 0.928 0.428 0.278
Y: 0.072 0.572 0.722
Y: 0.650 0.150 0.722
Y: 0.000 0.000 0.000
Y: 0.572 0.650 0.722
Y: 0.350 0.850 0.278
Y: 0.428 0.350 0.278
Y: 0.500 0.500 0.000
Y: 0.150 0.072 0.722
Y: 0.850 0.928 0.278
Er: 0.750 0.250 0.500
Er: 0.250 0.750 0.500
Sm: 0.750 0.750 0.500
Sm: 0.250 0.250 0.500

The calculated density is 5.78 Mg/m³. Its space group is I4/mcm. As for the crystal system: tetragonal.

(4)
The following is a DFT calculation (PBE) of a relaxed PrSm5Y2Er crystal.

Unit cell a=5.706 b=10.497 c=10.627 alpha=90.00 beta=90.00 gamma=105.77
Element x y z (fractional)
Pr: 0.414 0.828 0.454
Pr: 0.586 0.172 0.954
Sm: 0.388 0.775 0.023
Sm: 0.982 0.963 0.522
Sm: 0.612 0.225 0.523
Sm: 0.297 0.595 0.707
Sm: 0.480 0.959 0.741
Sm: 0.018 0.037 0.022
Sm: 0.520 0.041 0.241
Sm: 0.281 0.562 0.313
Sm: 0.719 0.438 0.813
Sm: 0.703 0.405 0.207
Y: 0.884 0.769 0.820
Y: 0.113 0.226 0.733
Y: 0.887 0.774 0.233
Y: 0.116 0.231 0.320
Er: 0.800 0.599 0.511
Er: 0.200 0.401 0.011

The calculated density is 6.71 Mg/m³. Its space group is Cmc2_1. As for the crystal system: orthorhombic.

(5)
The following is a DFT calculation (PBE) of a relaxed PrSm6YEr2 crystal.

Unit cell a=9.715 b=8.902 c=8.902 alpha=117.84 beta=94.04 gamma=94.04
Element x y z (fractional)
Sm: 0.683 0.022 0.568
Sm: 0.121 0.707 0.495
Sm: 0.055 0.116 0.756
Sm: 0.317 0.978 0.432
Sm: 0.621 0.495 0.707
Sm: 0.945 0.884 0.244
Sm: 0.379 0.505 0.293
Sm: 0.879 0.293 0.505
Sm: 0.183 0.568 0.022
Sm: 0.445 0.244 0.884
Sm: 0.817 0.432 0.978
Sm: 0.555 0.756 0.116
Er: 0.545 0.195 0.297
Er: 0.955 0.703 0.805
Er: 0.045 0.297 0.195
Er: 0.455 0.805 0.703
Y: 0.250 0.973 0.027
Y: 0.750 0.027 0.973
Pr: 0.250 0.406 0.594
Pr: 0.750 0.594 0.406

The calculated density is 7.22 Mg/m³. Its space group is C2/c. As for the crystal system: monoclinic.

(6)
The following is a DFT calculation (PBE) of a relaxed PrSm2Y6Er2 crystal.

Unit cell a=6.663 b=6.663 c=12.086 alpha=101.60 beta=101.60 gamma=129.25
Element x y z (fractional)
Er: 0.298 0.702 0.500
Er: 0.702 0.298 0.500
Y: 0.138 0.446 0.790
Y: 0.714 0.714 0.712
Y: 0.446 0.138 0.790
Y: 0.554 0.862 0.210
Y: 0.862 0.554 0.210
Y: 0.286 0.286 0.288
Sm: 0.135 0.865 0.000
Sm: 0.865 0.135 0.000
Pr: 0.000 0.000 0.500

The calculated density is 5.93 Mg/m³. Its space group is C2/m. As for the crystal system: monoclinic.

(7)
The following is a DFT calculation (PBE) of a relaxed PrSmY2Er5 crystal.

Unit cell a=8.748 b=8.748 c=9.788 alpha=116.54 beta=116.54 gamma=90.00
Element x y z (fractional)
Er: 0.069 0.569 0.728
Er: 0.000 0.000 0.000
Er: 0.160 0.069 0.728
Er: 0.660 0.160 0.728
Er: 0.840 0.931 0.272
Er: 0.569 0.660 0.728
Er: 0.340 0.840 0.272
Er: 0.931 0.431 0.272
Er: 0.500 0.500 0.000
Er: 0.431 0.340 0.272
Pr: 0.250 0.750 0.500
Pr: 0.750 0.250 0.500
Sm: 0.250 0.250 0.500
Sm: 0.750 0.750 0.500
Y: 0.383 0.883 0.000
Y: 0.117 0.383 0.000
Y: 0.617 0.117 0.000
Y: 0.883 0.617 0.000

The calculated density is 7.47 Mg/m³. Its space group is I4/mcm. As for the crystal system: tetragonal.

(8)
The following is a DFT calculation (PBE) of a relaxed PrSm2Y2Er2 crystal.

Unit cell a=3.532 b=6.143 c=11.844 alpha=72.28 beta=90.00 gamma=106.71
Element x y z (fractional)
Y: 0.550 0.099 0.226
Y: 0.450 0.901 0.774
Sm: 0.672 0.344 0.916
Sm: 0.328 0.656 0.084
Pr: 0.000 0.000 0.500
Er: 0.774 0.548 0.362
Er: 0.226 0.452 0.638

The calculated density is 6.79 Mg/m³. Its space group is C2/m. As for the crystal system: monoclinic.

DFT formation energy, record by record: 397; 190; 254; 149; 118; 154; 290; 90 meV/atom